Record 1
Entry from Alexandria via LeMat-Bulk: a relaxed CeTm2Fe crystal (PBE).

- distance to the lowest polymorph of the same formula (meV per atom) = 450
- crystal system = trigonal
- E_form (eV/atom) = 0.2994
- total magnetization (μB/f.u.) = 1.7

The structure in CIF format:
```
data_CeTm2Fe
_chemical_formula_sum 'Ce3 Tm6 Fe3'
_space_group_name_H-M_alt 'R -3 m'
_space_group_IT_number 166
_space_group_name_Hall '-R 3 2"'
_cell_length_a 3.2919
_cell_length_b 3.2919
_cell_length_c 31.3895
_cell_angle_alpha 90.00
_cell_angle_beta 90.00
_cell_angle_gamma 120.00
loop_
_atom_site_label
_atom_site_type_symbol
_atom_site_fract_x
_atom_site_fract_y
_atom_site_fract_z
Ce1 Ce 0.0000 0.0000 0.0000
Tm1 Tm 0.0000 0.0000 0.1052
Fe1 Fe 0.0000 0.0000 0.5000
```

---

Record 2
Entry from Alexandria via LeMat-Bulk: a relaxed CaHg4Pd6 crystal (PBE).

- crystal system = tetragonal
- E_form (eV/atom) = -0.1297
- total magnetization (μB/f.u.) = 0.0

The structure in CIF format:
```
data_CaHg4Pd6
_chemical_formula_sum 'Ca2 Hg8 Pd12'
_space_group_name_H-M_alt 'I -4 2 m'
_space_group_IT_number 121
_space_group_name_Hall 'I -4 2'
_cell_length_a 6.6540
_cell_length_b 6.6540
_cell_length_c 10.6127
_cell_angle_alpha 90.00
_cell_angle_beta 90.00
_cell_angle_gamma 90.00
loop_
_atom_site_label
_atom_site_type_symbol
_atom_site_fract_x
_atom_site_fract_y
_atom_site_fract_z
Ca1 Ca 0.0000 0.0000 0.0000
Hg1 Hg 0.2259 0.2259 0.6837
Pd1 Pd 0.0000 0.5000 0.0000
Pd2 Pd 0.1577 0.1577 0.4134
```

---

Record 3
Entry from Alexandria via LeMat-Bulk: a relaxed Li5In2GaAg2 crystal (PBE).

- crystal system = tetragonal
- E_form (eV/atom) = -0.1696
- total magnetization (μB/f.u.) = 0.0

The structure in CIF format:
```
data_Li5In2GaAg2
_chemical_formula_sum 'Li10 In4 Ga2 Ag4'
_space_group_name_H-M_alt 'P 4/m b m'
_space_group_IT_number 127
_space_group_name_Hall '-P 4 2ab'
_cell_length_a 9.8518
_cell_length_b 9.8518
_cell_length_c 3.7946
_cell_angle_alpha 90.00
_cell_angle_beta 90.00
_cell_angle_gamma 90.00
loop_
_atom_site_label
_atom_site_type_symbol
_atom_site_fract_x
_atom_site_fract_y
_atom_site_fract_z
Li1 Li 0.0000 0.5000 0.0000
Li2 Li 0.0692 0.1925 0.0000
In1 In 0.1708 0.6708 0.5000
Ga1 Ga 0.0000 0.0000 0.5000
Ag1 Ag 0.1264 0.3736 0.5000
```

---

Record 4
Entry from Alexandria via LeMat-Bulk: a relaxed NaIn2Pd crystal (PBE).

- crystal system = orthorhombic
- E_form (eV/atom) = -0.3451
- total magnetization (μB/f.u.) = 0.0

The structure in CIF format:
```
data_NaIn2Pd
_chemical_formula_sum 'Na8 In16 Pd8'
_space_group_name_H-M_alt 'P n m a'
_space_group_IT_number 62
_space_group_name_Hall '-P 2ac 2n'
_cell_length_a 16.0762
_cell_length_b 8.0240
_cell_length_c 5.6329
_cell_angle_alpha 90.00
_cell_angle_beta 90.00
_cell_angle_gamma 90.00
loop_
_atom_site_label
_atom_site_type_symbol
_atom_site_fract_x
_atom_site_fract_y
_atom_site_fract_z
Na1 Na 0.1079 0.2500 0.2444
Na2 Na 0.1395 0.7500 0.4591
In1 In 0.0367 0.0551 0.7436
In2 In 0.2120 0.5522 0.9539
Pd1 Pd 0.0692 0.7500 0.9704
Pd2 Pd 0.1845 0.2500 0.7269
```

---

Record 5
Entry from Alexandria via LeMat-Bulk: a relaxed Re2PbCl crystal (PBE).

- distance to the lowest polymorph of the same formula (meV per atom) = 1445
- crystal system = cubic
- formation energy from raw total energies (eV/atom) = 1.58
- total magnetization (μB/f.u.) = 0.0

The structure in CIF format:
```
data_Re2PbCl
_chemical_formula_sum 'Re8 Pb4 Cl4'
_space_group_name_H-M_alt 'F m -3 m'
_space_group_IT_number 225
_space_group_name_Hall '-F 4 2 3'
_cell_length_a 6.5410
_cell_length_b 6.5410
_cell_length_c 6.5410
_cell_angle_alpha 90.00
_cell_angle_beta 90.00
_cell_angle_gamma 90.00
loop_
_atom_site_label
_atom_site_type_symbol
_atom_site_fract_x
_atom_site_fract_y
_atom_site_fract_z
Re1 Re 0.2500 0.2500 0.2500
Pb1 Pb 0.0000 0.0000 0.0000
Cl1 Cl 0.0000 0.0000 0.5000
```

---

Record 6
Entry from Alexandria via LeMat-Bulk: a relaxed DyCu6 crystal (PBE).

- distance to the lowest polymorph of the same formula (meV per atom) = 1038
- crystal system = cubic
- E_form (eV/atom) = 0.8755
- total magnetization (μB/f.u.) = 0.0

The structure in CIF format:
```
data_DyCu6
_chemical_formula_sum 'Dy1 Cu6'
_space_group_name_H-M_alt 'P m -3 m'
_space_group_IT_number 221
_space_group_name_Hall '-P 4 2 3'
_cell_length_a 5.4773
_cell_length_b 5.4773
_cell_length_c 5.4773
_cell_angle_alpha 90.00
_cell_angle_beta 90.00
_cell_angle_gamma 90.00
loop_
_atom_site_label
_atom_site_type_symbol
_atom_site_fract_x
_atom_site_fract_y
_atom_site_fract_z
Dy1 Dy 0.0000 0.0000 0.0000
Cu1 Cu 0.1974 0.5000 0.5000
```

---

Record 7
Entry from Alexandria via LeMat-Bulk: a relaxed LiYFe crystal (PBE).

- distance to the lowest polymorph of the same formula (meV per atom) = 139
- crystal system = monoclinic
- E_form (eV/atom) = 0.1732
- total magnetization (μB/f.u.) = 0.0

The structure in CIF format:
```
data_LiYFe
_chemical_formula_sum 'Li4 Y4 Fe4'
_space_group_name_H-M_alt 'C 1 m 1'
_space_group_IT_number 8
_space_group_name_Hall 'C -2y'
_cell_length_a 10.5502
_cell_length_b 3.9994
_cell_length_c 5.7128
_cell_angle_alpha 90.00
_cell_angle_beta 105.44
_cell_angle_gamma 90.00
loop_
_atom_site_label
_atom_site_type_symbol
_atom_site_fract_x
_atom_site_fract_y
_atom_site_fract_z
Li1 Li 0.0000 0.0000 0.0000
Li2 Li 0.1547 0.5000 0.1207
Y1 Y 0.0130 0.5000 0.5145
Y2 Y 0.2838 0.0000 0.9009
Fe1 Fe 0.2304 0.0000 0.4103
Fe2 Fe 0.2929 0.5000 0.5442
```

---

Record 8
Entry from Alexandria via LeMat-Bulk: a relaxed BaSr2ReO6 crystal (PBE).

- crystal system = trigonal
- formation energy from raw total energies (eV/atom) = -2.33
- total magnetization (μB/f.u.) = 1.0

The structure in CIF format:
```
data_BaSr2ReO6
_chemical_formula_sum 'Ba3 Sr6 Re3 O18'
_space_group_name_H-M_alt 'R 3'
_space_group_IT_number 146
_space_group_name_Hall 'R 3'
_cell_length_a 6.1099
_cell_length_b 6.1099
_cell_length_c 15.5899
_cell_angle_alpha 90.00
_cell_angle_beta 90.00
_cell_angle_gamma 120.00
loop_
_atom_site_label
_atom_site_type_symbol
_atom_site_fract_x
_atom_site_fract_y
_atom_site_fract_z
Ba1 Ba 0.0000 0.0000 0.0000
Sr1 Sr 0.0000 0.0000 0.2692
Sr2 Sr 0.0000 0.0000 0.7749
Re1 Re 0.0000 0.0000 0.4833
O1 O 0.0375 0.2868 0.5486
O2 O 0.0858 0.6761 0.0703
```

---

Record 9
Entry from Alexandria via LeMat-Bulk: a relaxed Pr12Dy6Zr crystal (PBE).

- crystal system = trigonal
- E_form (eV/atom) = 0.0404
- total magnetization (μB/f.u.) = 0.0

The structure in CIF format:
```
data_Pr12Dy6Zr
_chemical_formula_sum 'Pr36 Dy18 Zr3'
_space_group_name_H-M_alt 'R -3'
_space_group_IT_number 148
_space_group_name_Hall '-R 3'
_cell_length_a 15.8297
_cell_length_b 15.8297
_cell_length_c 8.8939
_cell_angle_alpha 90.00
_cell_angle_beta 90.00
_cell_angle_gamma 120.00
loop_
_atom_site_label
_atom_site_type_symbol
_atom_site_fract_x
_atom_site_fract_y
_atom_site_fract_z
Pr1 Pr 0.0356 0.7552 0.3393
Pr2 Pr 0.0764 0.5125 0.6659
Dy1 Dy 0.0170 0.8822 0.6719
Zr1 Zr 0.0000 0.0000 0.0000
```

---

Record 10
Entry from Alexandria via LeMat-Bulk: a relaxed Li3TcCl8 crystal (PBE).

- crystal system = orthorhombic
- formation energy from raw total energies (eV/atom) = -1.14
- total magnetization (μB/f.u.) = 2.0

The structure in CIF format:
```
data_Li3TcCl8
_chemical_formula_sum 'Li6 Tc2 Cl16'
_space_group_name_H-M_alt 'C 2 2 2'
_space_group_IT_number 21
_space_group_name_Hall 'C 2 2'
_cell_length_a 7.5048
_cell_length_b 10.3681
_cell_length_c 7.4124
_cell_angle_alpha 90.00
_cell_angle_beta 90.00
_cell_angle_gamma 90.00
loop_
_atom_site_label
_atom_site_type_symbol
_atom_site_fract_x
_atom_site_fract_y
_atom_site_fract_z
Li1 Li 0.0000 0.0000 0.0000
Li2 Li 0.2500 0.2500 0.8101
Tc1 Tc 0.0000 0.0000 0.5000
Cl1 Cl 0.0000 0.2237 0.5000
Cl2 Cl 0.0000 0.2338 0.0000
Cl3 Cl 0.2233 0.0060 0.7241
```